Entry 1:
Computed, not measured: NpU3Tl4O12 after structural relaxation at the PBE level of DFT.

Summary:
- Formation energy from raw total energies: -2451 meV per atom

a = 7.536 Å, b = 7.536 Å, c = 7.536 Å
α = 109.47°, β = 109.47°, γ = 109.47°
Sites, in units of the cell vectors:
Np: 0.000 0.000 0.000
U: 0.000 0.500 0.500
U: 0.500 0.000 0.500
U: 0.500 0.500 0.000
Tl: 0.000 0.000 0.500
Tl: 0.000 0.500 0.000
Tl: 0.500 0.000 0.000
Tl: 0.500 0.500 0.500
O: 0.000 0.254 0.254
O: 0.000 0.746 0.746
O: 0.250 0.500 0.750
O: 0.250 0.750 0.500
O: 0.254 0.000 0.254
O: 0.254 0.254 0.000
O: 0.500 0.250 0.750
O: 0.500 0.750 0.250
O: 0.746 0.000 0.746
O: 0.746 0.746 0.000
O: 0.750 0.250 0.500
O: 0.750 0.500 0.250

***

Entry 2:
Computed, not measured: Ho6Sc2In after structural relaxation at the PBE level of DFT.

a = 9.515 Å, b = 9.515 Å, c = 5.976 Å
α = 94.64°, β = 94.64°, γ = 73.21°
Sites, in units of the cell vectors:
Ho: 0.086 0.812 0.985
Ho: 0.138 0.431 0.157
Ho: 0.188 0.914 0.515
Ho: 0.264 0.518 0.676
Ho: 0.431 0.138 0.657
Ho: 0.482 0.736 0.824
Ho: 0.518 0.264 0.176
Ho: 0.569 0.862 0.343
Ho: 0.736 0.482 0.324
Ho: 0.812 0.086 0.485
Ho: 0.862 0.569 0.843
Ho: 0.914 0.188 0.015
Sc: 0.074 0.273 0.587
Sc: 0.273 0.074 0.087
Sc: 0.727 0.926 0.913
Sc: 0.926 0.727 0.413
In: 0.376 0.624 0.250
In: 0.624 0.376 0.750

***

Entry 3:
Computed, not measured: Nb2SiRh2 after structural relaxation at the PBE level of DFT.

Summary:
- Formation energy from raw total energies: -228 meV per atom

a = 7.439 Å, b = 7.439 Å, c = 2.987 Å
α = 90.00°, β = 90.00°, γ = 90.00°
Sites, in units of the cell vectors:
Nb: 0.169 0.331 0.000
Nb: 0.331 0.831 0.000
Nb: 0.669 0.169 0.000
Nb: 0.831 0.669 0.000
Si: 0.000 0.000 0.500
Si: 0.500 0.500 0.500
Rh: 0.128 0.628 0.500
Rh: 0.372 0.128 0.500
Rh: 0.628 0.872 0.500
Rh: 0.872 0.372 0.500

***

Number 1: E -0.6056 Ry/atom, size of the total moment 5.0 Bohr magnetons per cell. Number 2: E -0.3512 Ry/atom, size of the total moment 0.0 Bohr magnetons per cell. Number 3: E -0.6086 Ry/atom, size of the total moment 0.0 Bohr magnetons per cell.